Record 1
Material: Ac8Ge5H
Method: DFT, PBE
State: relaxed

The space group is I-4 (No. 82) and the conventional cell measures 9.501, 9.501 and 10.034 Å, with angles of 90.00, 90.00 and 90.00 degrees. The distinct sites, in fractional coordinates, are Ac at (0.064, 0.199, 0.194), Ac at (0.075, 0.310, 0.575), Ge at (0.000, 0.000, 0.500), Ge at (0.123, 0.247, 0.880) and H at (0.000, 0.500, 0.250).

=====

Record 2
Material: ScAs2Ir
Method: DFT, PBE
State: relaxed

The space group is P4mm (No. 99) and the conventional cell measures 3.605, 3.605 and 5.476 Å, with angles of 90.00, 90.00 and 90.00 degrees. The distinct sites, in fractional coordinates, are Sc at (0.000, 0.000, 0.000), As at (0.000, 0.000, 0.508), As at (0.500, 0.500, 0.139) and Ir at (0.500, 0.500, 0.641).

For the formation energy, the calculation gives -0.5154 eV/atom. The calculation puts the excess energy over the best structure of this formula in the dataset at 0.1410 eV/atom.

=====

Record 3
Material: ScTi2TlSn
Method: DFT, PBE
State: relaxed

The space group is P4/mmm (No. 123) and the conventional cell measures 5.092, 5.092 and 5.256 Å, with angles of 90.00, 90.00 and 90.00 degrees. The distinct sites, in fractional coordinates, are Sc at (0.000, 0.000, 0.000), Ti at (0.000, 0.500, 0.500), Tl at (0.000, 0.000, 0.500) and Sn at (0.500, 0.500, 0.000).

For the formation energy, the calculation gives 0.7307 eV/atom.

=====

Record 4
Material: GaCu3Te4
Method: DFT, PBE
State: relaxed

The space group is R3m (No. 160, hexagonal axes) and the conventional cell measures 4.2199, 4.2199 and 41.8881 Å, with angles of 90.00, 90.00 and 120.00 degrees. The distinct sites, in fractional coordinates, are Ga at (0.0000, 0.0000, 0.0000), Cu at (0.0000, 0.0000, 0.2409), Cu at (0.0000, 0.0000, 0.4944), Cu at (0.0000, 0.0000, 0.7465), Te at (0.0000, 0.0000, 0.0625), Te at (0.0000, 0.0000, 0.3038), Te at (0.0000, 0.0000, 0.5556) and Te at (0.0000, 0.0000, 0.8076).

The calculation puts the excess energy over the best structure of this formula in the dataset at 0.0283 eV/atom.

=====

Record 5
Material: CaPm3Hg3
Method: DFT, PBE
State: relaxed

The space group is Cmmm (No. 65) and the conventional cell measures 10.606, 10.888 and 7.304 Å, with angles of 90.00, 90.00 and 90.00 degrees. The distinct sites, in fractional coordinates, are Ca at (0.213, 0.000, 0.000), Pm at (0.000, 0.222, 0.500), Pm at (0.000, 0.279, 0.000), Pm at (0.249, 0.000, 0.500), Hg at (0.000, 0.500, 0.272) and Hg at (0.250, 0.250, 0.252).

For the formation energy, the calculation gives -0.3514 eV/atom.

=====

Record 6
Material: SrSmHg3
Method: DFT, PBE
State: relaxed

The space group is Cmcm (No. 63) and the conventional cell measures 3.931, 29.765 and 4.972 Å, with angles of 90.00, 90.00 and 90.00 degrees. The distinct sites, in fractional coordinates, are Sr at (0.000, 0.077, 0.250), Sm at (0.000, 0.209, 0.750), Hg at (0.000, 0.315, 0.750), Hg at (0.000, 0.376, 0.250) and Hg at (0.000, 0.474, 0.250).

For the formation energy, the calculation gives -0.4602 eV/atom.

=====

Record 7
Material: ZrCdRh2Au
Method: DFT, PBE
State: relaxed

The space group is P4/mmm (No. 123) and the conventional cell measures 4.966, 4.966 and 4.935 Å, with angles of 90.00, 90.00 and 90.00 degrees. The distinct sites, in fractional coordinates, are Zr at (0.000, 0.000, 0.000), Cd at (0.500, 0.500, 0.000), Rh at (0.000, 0.500, 0.500) and Au at (0.000, 0.000, 0.500).

For the formation energy, the calculation gives 0.9831 eV/atom.

=====

Record 8
Material: In2SnWN
Method: DFT, PBE
State: relaxed

The space group is P4/mmm (No. 123) and the conventional cell measures 5.358, 5.358 and 5.245 Å, with angles of 90.00, 90.00 and 90.00 degrees. The distinct sites, in fractional coordinates, are In at (0.000, 0.500, 0.000), Sn at (0.000, 0.000, 0.500), W at (0.000, 0.000, 0.000) and N at (0.500, 0.500, 0.500).

=====

Record 9
Material: PuSn3
Method: DFT, PBE
State: relaxed

The space group is P-1 (No. 2) and the conventional cell measures 4.152, 6.066 and 9.215 Å, with angles of 77.86, 76.98 and 70.00 degrees. The distinct sites, in fractional coordinates, are Pu at (0.119, 0.449, 0.313), Sn at (0.121, 0.954, 0.803), Sn at (0.361, 0.323, 0.956) and Sn at (0.363, 0.836, 0.439).

For the formation energy, the calculation gives -0.1903 eV/atom.

=====

Record 10
Material: SrBePAu
Method: DFT, PBE
State: relaxed

The space group is P4/nmm (No. 129, origin choice 2) and the conventional cell measures 3.856, 3.856 and 10.897 Å, with angles of 90.00, 90.00 and 90.00 degrees. The distinct sites, in fractional coordinates, are Sr at (0.250, 0.250, 0.240), Be at (0.250, 0.750, 0.500), P at (0.250, 0.250, 0.610) and Au at (0.250, 0.750, 0.000).

For the formation energy, the calculation gives -0.6266 eV/atom.

=====

Record 11
Material: TcPPbO2
Method: DFT, PBE
State: relaxed

The space group is P4/mmm (No. 123) and the conventional cell measures 3.911, 3.911 and 5.161 Å, with angles of 90.00, 90.00 and 90.00 degrees. The distinct sites, in fractional coordinates, are Tc at (0.000, 0.000, 0.000), P at (0.000, 0.000, 0.500), Pb at (0.500, 0.500, 0.500) and O at (0.000, 0.500, 0.000).

The calculation puts the excess energy over the best structure of this formula in the dataset at 0.0000 eV/atom.

=====

Record 12
Material: PmSn2Ru
Method: DFT, PBE
State: relaxed

The space group is Cmcm (No. 63) and the conventional cell measures 4.399, 10.981 and 7.524 Å, with angles of 90.00, 90.00 and 90.00 degrees. The distinct sites, in fractional coordinates, are Pm at (0.000, 0.071, 0.250), Sn at (0.000, 0.357, 0.048) and Ru at (0.000, 0.211, 0.750).

For the formation energy, the calculation gives -0.5264 eV/atom. The calculation puts the excess energy over the best structure of this formula in the dataset at 0.0000 eV/atom.

=====

Record 13
Material: Hf2CdWCl
Method: DFT, PBE
State: relaxed

The space group is P4/mmm (No. 123) and the conventional cell measures 5.203, 5.203 and 4.664 Å, with angles of 90.00, 90.00 and 90.00 degrees. The distinct sites, in fractional coordinates, are Hf at (0.000, 0.500, 0.000), Cd at (0.000, 0.000, 0.500), W at (0.500, 0.500, 0.000) and Cl at (0.500, 0.500, 0.500).

=====

Record 14
Material: CrCo2Rh
Method: DFT, PBE
State: relaxed

The space group is I4/mmm (No. 139) and the conventional cell measures 3.616, 3.616 and 7.375 Å, with angles of 90.00, 90.00 and 90.00 degrees. The distinct sites, in fractional coordinates, are Cr at (0.000, 0.000, 0.000), Co at (0.000, 0.500, 0.250) and Rh at (0.000, 0.000, 0.500).

For the formation energy, the calculation gives 0.0128 eV/atom.

=====

Record 15
Material: Sm5Tl6
Method: DFT, PBE
State: relaxed

The space group is C2/m (No. 12) and the conventional cell measures 17.240, 7.650 and 5.376 Å, with angles of 90.00, 107.87 and 90.00 degrees. The distinct sites, in fractional coordinates, are Sm at (0.000, 0.000, 0.000), Sm at (0.155, 0.500, 0.655), Sm at (0.169, 0.000, 0.669), Tl at (0.000, 0.253, 0.500) and Tl at (0.164, 0.252, 0.163).

For the formation energy, the calculation gives -0.2899 eV/atom. The calculation puts the excess energy over the best structure of this formula in the dataset at 0.0000 eV/atom.

=====

Record 16
Material: Hf6FeSb2
Method: DFT, PBE
State: relaxed

The space group is P-62m (No. 189) and the conventional cell measures 7.7534, 7.7534 and 3.5794 Å, with angles of 90.00, 90.00 and 120.00 degrees. The distinct sites, in fractional coordinates, are Hf at (0.0000, 0.2393, 0.0000), Hf at (0.0000, 0.6062, 0.5000), Fe at (0.0000, 0.0000, 0.5000) and Sb at (0.3333, 0.6667, 0.0000).

=====

Record 17
Material: Li3YNp4S8
Method: DFT, PBE
State: relaxed

The space group is C2/m (No. 12) and the conventional cell measures 13.364, 7.811 and 7.742 Å, with angles of 90.00, 124.59 and 90.00 degrees. The distinct sites, in fractional coordinates, are Li at (0.000, 0.000, 0.000), Li at (0.250, 0.250, 0.500), Y at (0.000, 0.500, 0.000), Np at (0.000, 0.000, 0.500), Np at (0.000, 0.500, 0.500), Np at (0.250, 0.250, 0.000), S at (0.003, 0.247, 0.249), S at (0.248, 0.000, 0.251) and S at (0.250, 0.000, 0.746).

=====

Record 18
Material: SrCa2Ac6
Method: DFT, PBE
State: relaxed

The space group is C2/m (No. 12) and the conventional cell measures 19.628, 3.994 and 13.492 Å, with angles of 90.00, 129.55 and 90.00 degrees. The distinct sites, in fractional coordinates, are Sr at (0.000, 0.000, 0.000), Ca at (0.207, 0.500, 0.076), Ac at (0.036, 0.000, 0.736), Ac at (0.131, 0.500, 0.592) and Ac at (0.169, 0.500, 0.341).

For the formation energy, the calculation gives 0.0203 eV/atom.

=====

Record 19
Material: Dy3Mg2Cu3
Method: DFT, PBE
State: relaxed

The space group is Immm (No. 71) and the conventional cell measures 3.378, 5.014 and 20.156 Å, with angles of 90.00, 90.00 and 90.00 degrees. The distinct sites, in fractional coordinates, are Dy at (0.000, 0.000, 0.000), Dy at (0.000, 0.500, 0.120), Mg at (0.000, 0.000, 0.230), Cu at (0.000, 0.000, 0.500) and Cu at (0.000, 0.500, 0.379).

For the formation energy, the calculation gives -0.1673 eV/atom.

=====

Record 20
Material: SnBi2N2
Method: DFT, PBE
State: relaxed

The space group is C2/m (No. 12) and the conventional cell measures 6.089, 3.469 and 14.767 Å, with angles of 90.00, 95.75 and 90.00 degrees. The distinct sites, in fractional coordinates, are Sn at (0.000, 0.000, 0.000), Bi at (0.169, 0.500, 0.216) and N at (0.145, 0.500, 0.715).

The calculation puts the excess energy over the best structure of this formula in the dataset at 0.0528 eV/atom.

=====

Record 21
Material: NbSnNO2
Method: DFT, PBE
State: relaxed

The space group is P4/mmm (No. 123) and the conventional cell measures 3.979, 3.979 and 4.152 Å, with angles of 90.00, 90.00 and 90.00 degrees. The distinct sites, in fractional coordinates, are Nb at (0.000, 0.000, 0.000), Sn at (0.500, 0.500, 0.500), N at (0.500, 0.500, 0.000) and O at (0.000, 0.500, 0.500).

=====

Record 22
Material: Sr3NiP
Method: DFT, PBE
State: relaxed

The space group is Pm-3m (No. 221) and the conventional cell measures 5.773, 5.773 and 5.773 Å, with angles of 90.00, 90.00 and 90.00 degrees. The distinct sites, in fractional coordinates, are Sr at (0.000, 0.000, 0.500), Ni at (0.500, 0.500, 0.500) and P at (0.000, 0.000, 0.000).

For the formation energy, the calculation gives -0.0971 eV/atom. The calculation puts the excess energy over the best structure of this formula in the dataset at 0.0000 eV/atom.

=====

Record 23
Material: K3TeH
Method: DFT, PBE
State: relaxed

The space group is P4mm (No. 99) and the conventional cell measures 6.422, 6.422 and 6.757 Å, with angles of 90.00, 90.00 and 90.00 degrees. The distinct sites, in fractional coordinates, are K at (0.000, 0.000, 0.000), K at (0.000, 0.500, 0.600), Te at (0.000, 0.000, 0.485) and H at (0.500, 0.500, 0.739).

The calculation puts the excess energy over the best structure of this formula in the dataset at 0.2661 eV/atom.

=====

Record 24
Material: Rb2ZnHgAu
Method: DFT, PBE
State: relaxed

The space group is P4/mmm (No. 123) and the conventional cell measures 6.584, 6.584 and 5.055 Å, with angles of 90.00, 90.00 and 90.00 degrees. The distinct sites, in fractional coordinates, are Rb at (0.000, 0.500, 0.000), Zn at (0.000, 0.000, 0.500), Hg at (0.500, 0.500, 0.500) and Au at (0.000, 0.000, 0.000).

For the formation energy, the calculation gives -0.1116 eV/atom. The calculation puts the excess energy over the best structure of this formula in the dataset at 0.0000 eV/atom.

=====

Record 25
Material: MgSb2P
Method: DFT, PBE
State: relaxed

The space group is I4/mmm (No. 139) and the conventional cell measures 4.255, 4.255 and 10.267 Å, with angles of 90.00, 90.00 and 90.00 degrees. The distinct sites, in fractional coordinates, are Mg at (0.000, 0.000, 0.000), Sb at (0.000, 0.500, 0.250) and P at (0.000, 0.000, 0.500).

The calculation puts the excess energy over the best structure of this formula in the dataset at 0.2838 eV/atom.

=====

Number 1: final energy -0.352 Ry per atom, magnetic moment 0.0 μB/f.u.. Number 2: final energy -0.488 Ry per atom, magnetic moment 0.0 μB/f.u.. Number 3: final energy -0.365 Ry per atom, magnetic moment 2.0 μB/f.u.. Number 4: final energy -0.266 Ry per atom, magnetic moment 0.0 μB/f.u.. Number 5: final energy -0.206 Ry per atom, magnetic moment 0.0 μB/f.u.. Number 6: final energy -0.141 Ry per atom, magnetic moment 0.0 μB/f.u.. Number 7: final energy -0.331 Ry per atom, magnetic moment 0.0 μB/f.u.. Number 8: final energy -0.343 Ry per atom, magnetic moment 3.3 μB/f.u.. Number 9: final energy -0.498 Ry per atom, magnetic moment 5.9 μB/f.u.. Number 10: final energy -0.305 Ry per atom, magnetic moment 0.0 μB/f.u.. Number 11: final energy -0.478 Ry per atom, magnetic moment 0.0 μB/f.u.. Number 12: final energy -0.444 Ry per atom, magnetic moment 0.0 μB/f.u.. Number 13: final energy -0.460 Ry per atom, magnetic moment 0.0 μB/f.u.. Number 14: final energy -0.572 Ry per atom, magnetic moment 1.0 μB/f.u.. Number 15: final energy -0.274 Ry per atom, magnetic moment 0.0 μB/f.u.. Number 16: final energy -0.657 Ry per atom, magnetic moment 0.0 μB/f.u.. Number 17: final energy -0.550 Ry per atom, magnetic moment 8.7 μB/f.u.. Number 18: final energy -0.246 Ry per atom, magnetic moment 0.0 μB/f.u.. Number 19: final energy -0.281 Ry per atom, magnetic moment 0.0 μB/f.u.. Number 20: final energy -0.356 Ry per atom, magnetic moment 0.0 μB/f.u.. Number 21: final energy -0.482 Ry per atom, magnetic moment 2.0 μB/f.u.. Number 22: final energy -0.246 Ry per atom, magnetic moment 0.1 μB/f.u.. Number 23: final energy -0.176 Ry per atom, magnetic moment 0.0 μB/f.u.. Number 24: final energy -0.108 Ry per atom, magnetic moment 0.2 μB/f.u.. Number 25: final energy -0.263 Ry per atom, magnetic moment 0.0 μB/f.u..